Density functional theory data (PBE) for an optimized crystal structure of Ba2AgPdN.

Cell and atoms, written as extended XYZ:
```
5
Lattice="-1.279 -1.445 -5.460 5.602 -1.043 -1.036 -0.497 -3.781 1.118" Properties=species:S:1:pos:R:3 pbc="T T T"
N 0.000 0.000 0.000
Pd -0.249 -1.891 0.559
Ag 1.913 -3.135 -2.689
Ba 2.801 -0.522 -0.518
Ba -0.639 -0.723 -2.730
```

Values from the calculation:
Energy (eV/atom): -4.389
SG: P4/mmm
D(E_F) (states/eV/cell): 2.82
Spin magnetization (μB/f.u.): 0.00

Density functional theory data (PBE) for an optimized crystal structure of Mg2ZnAu2.

Cell and atoms, written as extended XYZ:
```
10
Lattice="4.273 0.000 0.000 -2.137 6.650 -1.482 0.000 0.031 6.528" Properties=species:S:1:pos:R:3 pbc="T T T"
Au 0.000 1.363 -0.072
Au 2.137 5.318 5.118
Au 2.137 5.275 1.684
Au 0.000 1.406 3.362
Mg 2.137 0.178 1.599
Mg 0.000 3.603 1.569
Mg 0.000 6.503 3.447
Mg 2.137 3.078 3.477
Zn 2.137 2.940 -0.036
Zn 0.000 3.740 5.082
```

Values from the calculation:
Energy (eV/atom): -2.591
SG: C2/m
D(E_F) (states/eV/cell): 3.61
Energy of formation from the pure elements (eV per atom): -0.388
Spin magnetization (μB/f.u.): 0.00

Density functional theory data (PBE) for an optimized crystal structure of Te2BrNCl.

Cell and atoms, written as extended XYZ:
```
5
Lattice="-3.681 2.328 4.982 1.632 -5.263 3.664 2.604 1.620 1.167" Properties=species:S:1:pos:R:3 pbc="T T T"
Te -1.841 1.164 2.491
Te 0.816 -2.631 1.832
Br 0.277 -0.658 4.907
Cl 0.000 0.000 0.000
N 1.302 0.810 0.584
```

Values from the calculation:
Energy (eV/atom): -2.285
SG: P4/mmm
D(E_F) (states/eV/cell): 5.49
Relative energy among the computed polymorphs (meV per atom): 0
Spin magnetization (μB/f.u.): 1.74

Density functional theory data (PBE) for an optimized crystal structure of BeCdOsSe2.

Cell and atoms, written as extended XYZ:
```
5
Lattice="-2.388 0.609 -4.108 -4.202 -2.754 2.034 -1.859 4.081 1.686" Properties=species:S:1:pos:R:3 pbc="T T T"
Se -0.929 2.040 0.843
Se -1.194 0.305 -2.054
Os 0.000 0.000 0.000
Be -4.224 0.968 -0.194
Cd -2.101 -1.377 1.017
```

Values from the calculation:
Energy (eV/atom): -3.615
SG: P4/mmm
D(E_F) (states/eV/cell): 5.39
Spin magnetization (μB/f.u.): 0.00

Density functional theory data (PBE) for an optimized crystal structure of Sr2TlIn3Hg4.

Cell and atoms, written as extended XYZ:
```
10
Lattice="4.914 0.000 0.000 0.000 4.914 0.000 0.000 0.000 12.193" Properties=species:S:1:pos:R:3 pbc="T T T"
In 0.000 0.000 6.096
In 0.000 2.457 1.570
In 2.457 0.000 10.623
Sr 0.000 2.457 9.283
Sr 2.457 0.000 2.910
Hg 0.000 2.457 4.343
Hg 2.457 2.457 0.000
Hg 0.000 0.000 0.000
Hg 2.457 0.000 7.850
Tl 2.457 2.457 6.096
```

Values from the calculation:
Energy (eV/atom): -1.792
SG: P-4m2
D(E_F) (states/eV/cell): 4.98
Energy of formation from the pure elements (eV per atom): -0.276
Spin magnetization (μB/f.u.): 0.00

Density functional theory data (PBE) for an optimized crystal structure of Be3WS.

Cell and atoms, written as extended XYZ:
```
5
Lattice="-2.471 1.374 2.796 -0.770 -3.727 1.152 3.019 0.174 2.582" Properties=species:S:1:pos:R:3 pbc="T T T"
Be 1.509 0.087 1.291
Be -0.385 -1.864 0.576
Be -1.236 0.687 1.398
W -0.111 -1.089 3.265
S 0.000 0.000 0.000
```

Values from the calculation:
Energy (eV/atom): -4.602
SG: Pm-3m
D(E_F) (states/eV/cell): 4.17
Relative energy among the computed polymorphs (meV per atom): 0
Spin magnetization (μB/f.u.): 0.86

Density functional theory data (PBE) for an optimized crystal structure of Tm3InP.

Cell and atoms, written as extended XYZ:
```
5
Lattice="-0.945 4.482 2.370 -4.741 -1.636 1.202 1.796 -1.958 4.420" Properties=species:S:1:pos:R:3 pbc="T T T"
Tm -0.473 2.241 1.185
Tm 0.898 -0.979 2.210
Tm -2.370 -0.818 0.601
P 0.000 0.000 0.000
In -1.945 0.444 3.996
```

Values from the calculation:
Energy (eV/atom): -5.005
SG: Pm-3m
D(E_F) (states/eV/cell): 2.13
Energy of formation from the pure elements (eV per atom): -0.692
Spin magnetization (μB/f.u.): 0.00

Density functional theory data (PBE) for an optimized crystal structure of AcCd2Ga.

Cell and atoms, written as extended XYZ:
```
8
Lattice="4.889 0.000 0.000 -2.444 5.675 0.000 0.000 0.000 7.515" Properties=species:S:1:pos:R:3 pbc="T T T"
Cd 0.000 4.248 4.178
Cd 2.444 1.427 0.421
Cd 0.000 4.248 7.094
Cd 2.444 1.427 3.337
Ac 2.444 4.658 1.879
Ac 0.000 1.017 5.636
Ga 2.444 3.335 5.636
Ga 0.000 2.340 1.879
```

Values from the calculation:
Energy (eV/atom): -2.607
SG: Cmcm
D(E_F) (states/eV/cell): 1.83
Relative energy among the computed polymorphs (meV per atom): 15
Energy of formation from the pure elements (eV per atom): -0.366
Spin magnetization (μB/f.u.): 0.00

Density functional theory data (PBE) for an optimized crystal structure of PmDyCdOs.

Cell and atoms, written as extended XYZ:
```
4
Lattice="-1.809 2.394 -1.767 -2.651 -0.359 2.229 3.074 5.700 4.575" Properties=species:S:1:pos:R:3 pbc="T T T"
Os 1.729 3.207 2.573
Cd 0.249 0.461 0.370
Dy -1.131 3.057 1.868
Pm 0.178 5.483 3.815
```

Values from the calculation:
Energy (eV/atom): -5.610
SG: P4mm
D(E_F) (states/eV/cell): 3.05
Relative energy among the computed polymorphs (meV per atom): 0
Energy of formation from the pure elements (eV per atom): -0.235
Spin magnetization (μB/f.u.): 0.00

Density functional theory data (PBE) for an optimized crystal structure of LiGaN2.

Cell and atoms, written as extended XYZ:
```
4
Lattice="-0.960 -5.324 2.649 2.001 -5.463 1.559 1.390 -3.995 4.288" Properties=species:S:1:pos:R:3 pbc="T T T"
Li 0.000 0.000 0.000
N 2.166 -13.166 7.567
N 0.266 -1.616 0.929
Ga 1.216 -7.391 4.248
```

Values from the calculation:
Energy (eV/atom): -4.873
SG: R-3m
D(E_F) (states/eV/cell): 0.96
Relative energy among the computed polymorphs (meV per atom): 0
Spin magnetization (μB/f.u.): 2.00

Density functional theory data (PBE) for an optimized crystal structure of YFeNi4.

Cell and atoms, written as extended XYZ:
```
12
Lattice="3.730 0.000 0.000 0.000 6.473 0.000 0.000 0.000 7.047" Properties=species:S:1:pos:R:3 pbc="T T T"
Ni 1.865 0.194 1.762
Ni 1.865 6.278 5.285
Ni 1.865 1.912 6.656
Ni 1.865 4.560 0.391
Ni 0.000 0.000 3.524
Ni 1.865 4.560 3.132
Ni 0.000 0.000 0.000
Ni 1.865 1.912 3.915
Fe 0.000 1.413 5.285
Fe 0.000 5.059 1.762
Y 0.000 2.330 1.762
Y 0.000 4.142 5.285
```

Values from the calculation:
Energy (eV/atom): -6.441
SG: Pmma
D(E_F) (states/eV/cell): 8.21
Energy of formation from the pure elements (eV per atom): -0.099
Spin magnetization (μB/f.u.): 4.23

Density functional theory data (PBE) for an optimized crystal structure of Hf2BeAuF.

Cell and atoms, written as extended XYZ:
```
5
Lattice="4.717 0.000 0.000 0.000 4.173 0.000 0.000 0.000 4.717" Properties=species:S:1:pos:R:3 pbc="T T T"
Be 0.000 0.000 0.000
Au 0.000 2.086 0.000
Hf 0.000 0.000 2.359
Hf 2.359 0.000 0.000
F 2.359 2.086 2.359
```

Values from the calculation:
Energy (eV/atom): -5.742
SG: P4/mmm
D(E_F) (states/eV/cell): 6.38
Spin magnetization (μB/f.u.): 0.00

Density functional theory data (PBE) for an optimized crystal structure of ZrTeH3.

Cell and atoms, written as extended XYZ:
```
5
Lattice="-0.446 3.815 0.829 -1.861 0.525 -3.421 -3.432 -0.781 1.747" Properties=species:S:1:pos:R:3 pbc="T T T"
Te -2.869 1.780 -0.422
Zr 0.000 0.000 0.000
H -0.223 1.907 0.414
H -0.931 0.263 -1.710
H -1.716 -0.390 0.874
```

Values from the calculation:
Energy (eV/atom): -4.344
SG: Pm-3m
D(E_F) (states/eV/cell): 2.75
Relative energy among the computed polymorphs (meV per atom): 0
Spin magnetization (μB/f.u.): 0.00

Density functional theory data (PBE) for an optimized crystal structure of SrNpAs2S8.

Cell and atoms, written as extended XYZ:
```
12
Lattice="6.213 0.000 0.000 -3.106 5.381 0.000 0.000 0.000 9.135" Properties=species:S:1:pos:R:3 pbc="T T T"
Np 0.000 0.000 4.568
As 0.000 3.587 6.947
As 3.106 1.794 2.188
S 5.140 1.739 6.303
S 2.042 0.059 6.303
S -2.034 3.642 2.832
S 0.000 3.587 9.075
S 0.970 1.799 2.832
S 1.064 5.321 2.832
S 3.106 1.794 0.060
S 2.137 3.582 6.303
Sr 0.000 0.000 0.000
```

Values from the calculation:
Energy (eV/atom): -5.303
SG: P-3
D(E_F) (states/eV/cell): 4.21
Spin magnetization (μB/f.u.): 3.00

Density functional theory data (PBE) for an optimized crystal structure of TbTlC2O6.

Cell and atoms, written as extended XYZ:
```
20
Lattice="-4.700 2.911 -3.390 3.533 -1.450 -5.241 -2.896 -6.319 2.008" Properties=species:S:1:pos:R:3 pbc="T T T"
O -4.068 -4.570 -1.571
O -0.421 -0.542 -1.903
O -3.378 0.058 -1.791
O -0.675 -2.440 -3.012
O 0.005 -0.289 -5.052
O -0.309 -5.494 -1.802
O -2.310 -3.468 -0.800
O -3.387 -2.419 -3.611
O -1.752 -1.391 -5.823
O -0.684 -4.917 -4.832
O -3.753 0.635 -4.821
O -3.641 -4.317 -4.720
C -4.041 -3.093 -4.540
C -0.516 -1.034 -6.011
C -3.546 -3.825 -0.612
C -0.021 -1.766 -2.083
Tb -2.086 -0.437 -3.639
Tb -1.976 -4.422 -2.985
Tl 1.924 -2.561 -4.540
Tl -5.986 -2.298 -2.084
```

Values from the calculation:
Energy (eV/atom): -7.459
SG: C2/c
D(E_F) (states/eV/cell): 0.00
Spin magnetization (μB/f.u.): 0.00

Density functional theory data (PBE) for an optimized crystal structure of TbPm5Tl4.

Cell and atoms, written as extended XYZ:
```
10
Lattice="-2.079 1.368 2.701 -2.510 -2.612 -0.608 10.315 -13.329 14.690" Properties=species:S:1:pos:R:3 pbc="T T T"
Tl 4.159 -5.375 5.924
Tl 8.152 -10.534 11.609
Tl 2.163 -2.795 3.080
Tl 6.155 -7.954 8.766
Tb 0.000 0.000 0.000
Pm 6.850 -12.438 14.069
Pm 0.865 -4.704 5.546
Pm -1.123 -2.135 2.714
Pm 2.863 -7.286 8.392
Pm 4.861 -9.869 11.238
```

Values from the calculation:
Energy (eV/atom): -4.078
SG: P4/mmm
D(E_F) (states/eV/cell): 11.63
Relative energy among the computed polymorphs (meV per atom): 0
Energy of formation from the pure elements (eV per atom): -0.293
Spin magnetization (μB/f.u.): 0.00

Density functional theory data (PBE) for an optimized crystal structure of LiC3S.

Cell and atoms, written as extended XYZ:
```
5
Lattice="3.763 0.000 0.000 0.000 3.763 0.000 0.000 0.000 3.763" Properties=species:S:1:pos:R:3 pbc="T T T"
S 1.882 1.882 1.882
C 0.000 0.000 1.882
C 1.882 0.000 0.000
C 0.000 1.882 0.000
Li 0.000 0.000 0.000
```

Values from the calculation:
Energy (eV/atom): -3.529
SG: Pm-3m
D(E_F) (states/eV/cell): 3.34
Relative energy among the computed polymorphs (meV per atom): 899
Spin magnetization (μB/f.u.): 0.00

Density functional theory data (PBE) for an optimized crystal structure of RbGe2Ru.

Cell and atoms, written as extended XYZ:
```
4
Lattice="0.063 0.503 4.806 -1.064 4.270 1.996 -4.141 0.569 2.424" Properties=species:S:1:pos:R:3 pbc="T T T"
Ru -2.571 2.671 4.613
Ge -1.286 1.336 2.307
Ge -3.857 4.007 6.920
Rb 0.000 0.000 0.000
```

Values from the calculation:
Energy (eV/atom): -4.111
SG: Fm-3m
D(E_F) (states/eV/cell): 3.32
Relative energy among the computed polymorphs (meV per atom): 809
Energy of formation from the pure elements (eV per atom): 0.758
Spin magnetization (μB/f.u.): 0.00

Density functional theory data (PBE) for an optimized crystal structure of Li2Sc5Sn5.

Cell and atoms, written as extended XYZ:
```
12
Lattice="4.720 0.000 0.000 -2.360 4.076 -0.228 0.000 -1.945 13.867" Properties=species:S:1:pos:R:3 pbc="T T T"
Sc 2.360 1.609 4.455
Sc 2.360 1.424 1.124
Sc 2.360 -0.973 6.934
Sc 0.000 0.522 9.184
Sc 0.000 0.707 12.515
Sn 0.000 2.873 2.724
Sn 0.000 0.000 0.000
Sn 2.360 1.812 7.927
Sn 0.000 0.319 5.713
Sn 2.360 -0.742 10.916
Li 0.000 0.151 2.812
Li 2.360 1.980 10.827
```

Values from the calculation:
Energy (eV/atom): -5.158
SG: C2/m
D(E_F) (states/eV/cell): 6.40
Energy of formation from the pure elements (eV per atom): -0.533
Spin magnetization (μB/f.u.): 0.00

Density functional theory data (PBE) for an optimized crystal structure of NbV6Mo3.

Cell and atoms, written as extended XYZ:
```
20
Lattice="-2.410 0.265 -1.759 -0.797 -9.094 -0.276 -6.047 5.465 9.106" Properties=species:S:1:pos:R:3 pbc="T T T"
Mo -6.795 -3.337 7.530
Mo -7.572 1.370 6.753
Mo -5.357 -2.814 3.089
Mo -1.682 -4.734 0.316
Mo -2.459 -0.027 -0.461
Mo -3.897 -0.551 3.981
Nb -3.054 -7.260 1.816
Nb -6.200 3.896 5.253
V -6.319 -0.876 7.250
V -2.935 -2.488 -0.180
V -4.892 1.848 3.154
V -4.362 -5.212 3.916
V -6.274 -0.321 4.721
V -2.795 -6.656 -0.998
V -2.498 -0.710 2.040
V -6.756 -2.654 5.029
V -5.010 1.596 5.828
V -2.980 -3.043 2.349
V -6.459 3.292 8.068
V -4.244 -4.960 1.241
```

Values from the calculation:
Energy (eV/atom): -9.534
SG: P2_1/m
D(E_F) (states/eV/cell): 20.70
Relative energy among the computed polymorphs (meV per atom): 258
Energy of formation from the pure elements (eV per atom): 0.194
Spin magnetization (μB/f.u.): 0.00

Density functional theory data (PBE) for an optimized crystal structure of Cd7In3Ga2.

Cell and atoms, written as extended XYZ:
```
12
Lattice="4.314 0.000 -0.593 -0.081 4.314 -0.593 -0.059 -0.061 15.569" Properties=species:S:1:pos:R:3 pbc="T T T"
Cd 1.688 3.919 12.291
Cd 0.000 0.000 0.000
Cd 0.287 2.491 2.093
Cd 3.210 3.271 7.370
Cd 3.886 1.762 12.291
Cd 0.963 0.982 7.015
Cd 2.485 0.334 2.093
Ga 3.581 3.649 10.071
Ga 0.592 0.604 4.313
In 2.117 2.157 -0.593
In 1.369 1.395 9.965
In 2.805 2.858 4.419
```

Values from the calculation:
Energy (eV/atom): -1.657
SG: I4/mmm
D(E_F) (states/eV/cell): 4.82
Energy of formation from the pure elements (eV per atom): 0.065
Spin magnetization (μB/f.u.): 0.00

Density functional theory data (PBE) for an optimized crystal structure of KCaAu3.

Cell and atoms, written as extended XYZ:
```
5
Lattice="-2.378 0.307 -5.034 4.151 -3.041 -2.147 -2.863 -4.663 1.068" Properties=species:S:1:pos:R:3 pbc="T T T"
Ca -0.545 -3.699 -3.056
Au 2.076 -1.520 -1.073
Au -1.432 -2.332 0.534
Au -1.189 0.154 -2.517
K 0.000 0.000 0.000
```

Values from the calculation:
Energy (eV/atom): -2.198
SG: Pm-3m
D(E_F) (states/eV/cell): 0.06
Relative energy among the computed polymorphs (meV per atom): 566
Energy of formation from the pure elements (eV per atom): 0.388
Spin magnetization (μB/f.u.): 0.00

Density functional theory data (PBE) for an optimized crystal structure of SrMnCr2.

Cell and atoms, written as extended XYZ:
```
4
Lattice="3.107 0.180 0.000 -0.178 3.107 0.000 0.000 0.000 7.961" Properties=species:S:1:pos:R:3 pbc="T T T"
Sr 1.465 1.644 5.984
Cr 1.465 1.644 1.963
Cr 0.000 0.000 0.642
Mn 0.000 0.000 3.352
```

Values from the calculation:
Energy (eV/atom): -6.942
SG: P4mm
D(E_F) (states/eV/cell): 3.19
Relative energy among the computed polymorphs (meV per atom): 27
Energy of formation from the pure elements (eV per atom): 0.582
Spin magnetization (μB/f.u.): 4.88

Density functional theory data (PBE) for an optimized crystal structure of GdHoBe2.

Cell and atoms, written as extended XYZ:
```
4
Lattice="-4.422 1.136 1.575 -3.603 -3.191 -0.408 -1.785 -2.145 3.943" Properties=species:S:1:pos:R:3 pbc="T T T"
Be -2.452 -1.050 1.277
Be -7.357 -3.150 3.832
Gd -4.905 -2.100 2.555
Ho 0.000 0.000 0.000
```

Values from the calculation:
Energy (eV/atom): -6.420
SG: Fm-3m
D(E_F) (states/eV/cell): 3.37
Relative energy among the computed polymorphs (meV per atom): 2
Energy of formation from the pure elements (eV per atom): 0.108
Spin magnetization (μB/f.u.): 7.76